1.
VASP calculation (PBE-GGA) on La2YAs2 after structural relaxation.

space group: P4/mbm (127)
calculated volume: 273.3 Å³/cell
energy relative to the lowest polymorph listed for this composition: 0.000 eV/atom

CIF file:
```
data_La2YAs2
_space_group_name_H-M_alt 'P 1'
_space_group_IT_number 1
_cell_length_a 8.062
_cell_length_b 8.062
_cell_length_c 4.205
_cell_angle_alpha 90.00
_cell_angle_beta 90.00
_cell_angle_gamma 90.00
loop_
_space_group_symop_operation_xyz
'x,y,z'
loop_
_atom_site_label
_atom_site_fract_x
_atom_site_fract_y
_atom_site_fract_z
_atom_site_occupancy
La1 0.150 0.350 0.000 1
La2 0.350 0.850 0.000 1
La3 0.650 0.150 0.000 1
La4 0.850 0.650 0.000 1
Y1 0.000 0.000 0.500 1
Y2 0.500 0.500 0.500 1
As1 0.157 0.657 0.500 1
As2 0.343 0.157 0.500 1
As3 0.657 0.843 0.500 1
As4 0.843 0.343 0.500 1
```

---

2.
VASP calculation (PBE-GGA) on KSrTa after structural relaxation.

space group: Cm (8)
calculated volume: 466.4 Å³/cell
energy relative to the lowest polymorph listed for this composition: 0.441 eV/atom

CIF file:
```
data_KSrTa
_space_group_name_H-M_alt 'P 1'
_space_group_IT_number 1
_cell_length_a 14.382
_cell_length_b 3.543
_cell_length_c 9.742
_cell_angle_alpha 90.00
_cell_angle_beta 110.04
_cell_angle_gamma 90.00
loop_
_space_group_symop_operation_xyz
'x,y,z'
loop_
_atom_site_label
_atom_site_fract_x
_atom_site_fract_y
_atom_site_fract_z
_atom_site_occupancy
K1 0.000 0.000 0.000 1
K2 0.122 0.500 0.415 1
K3 0.500 0.500 0.000 1
K4 0.622 0.000 0.415 1
Sr1 0.287 0.000 0.124 1
Sr2 0.427 0.500 0.596 1
Sr3 0.787 0.500 0.124 1
Sr4 0.927 0.000 0.596 1
Ta1 0.151 0.500 0.806 1
Ta2 0.268 0.000 0.759 1
Ta3 0.651 0.000 0.806 1
Ta4 0.768 0.500 0.759 1
```

---

3.
VASP calculation (PBE-GGA) on Au2IO after structural relaxation.

space group: Fm-3m (225)
formation energy from raw total energies: 0.785 eV/atom
calculated volume: 308.0 Å³/cell
energy relative to the lowest polymorph listed for this composition: 0.529 eV/atom

CIF file:
```
data_Au2IO
_space_group_name_H-M_alt 'P 1'
_space_group_IT_number 1
_cell_length_a 6.753
_cell_length_b 6.753
_cell_length_c 6.753
_cell_angle_alpha 90.00
_cell_angle_beta 90.00
_cell_angle_gamma 90.00
loop_
_space_group_symop_operation_xyz
'x,y,z'
loop_
_atom_site_label
_atom_site_fract_x
_atom_site_fract_y
_atom_site_fract_z
_atom_site_occupancy
Au1 0.250 0.250 0.250 1
Au2 0.250 0.250 0.750 1
Au3 0.250 0.750 0.250 1
Au4 0.250 0.750 0.750 1
Au5 0.750 0.250 0.250 1
Au6 0.750 0.250 0.750 1
Au7 0.750 0.750 0.250 1
Au8 0.750 0.750 0.750 1
I1 0.000 0.000 0.000 1
I2 0.000 0.500 0.500 1
I3 0.500 0.000 0.500 1
I4 0.500 0.500 0.000 1
O1 0.000 0.000 0.500 1
O2 0.000 0.500 0.000 1
O3 0.500 0.000 0.000 1
O4 0.500 0.500 0.500 1
```

---

4.
VASP calculation (PBE-GGA) on TmSc4Al2 after structural relaxation.

space group: I4/mmm (139)
calculated volume: 335.0 Å³/cell
energy relative to the lowest polymorph listed for this composition: 0.519 eV/atom

CIF file:
```
data_TmSc4Al2
_space_group_name_H-M_alt 'P 1'
_space_group_IT_number 1
_cell_length_a 5.298
_cell_length_b 5.298
_cell_length_c 11.934
_cell_angle_alpha 90.00
_cell_angle_beta 90.00
_cell_angle_gamma 90.00
loop_
_space_group_symop_operation_xyz
'x,y,z'
loop_
_atom_site_label
_atom_site_fract_x
_atom_site_fract_y
_atom_site_fract_z
_atom_site_occupancy
Tm1 0.000 0.000 0.000 1
Tm2 0.500 0.500 0.500 1
Sc1 0.000 0.500 0.000 1
Sc2 0.000 0.500 0.250 1
Sc3 0.000 0.500 0.500 1
Sc4 0.000 0.500 0.750 1
Sc5 0.500 0.000 0.000 1
Sc6 0.500 0.000 0.250 1
Sc7 0.500 0.000 0.500 1
Sc8 0.500 0.000 0.750 1
Al1 0.000 0.000 0.382 1
Al2 0.000 0.000 0.618 1
Al3 0.500 0.500 0.118 1
Al4 0.500 0.500 0.882 1
```

---

5.
VASP calculation (PBE-GGA) on RbNa2ThCl8 after structural relaxation.

space group: P-1 (2)
formation energy from raw total energies: -1.795 eV/atom
calculated volume: 384.6 Å³/cell

CIF file:
```
data_RbNa2ThCl8
_space_group_name_H-M_alt 'P 1'
_space_group_IT_number 1
_cell_length_a 5.787
_cell_length_b 6.950
_cell_length_c 9.564
_cell_angle_alpha 90.02
_cell_angle_beta 90.11
_cell_angle_gamma 90.38
loop_
_space_group_symop_operation_xyz
'x,y,z'
loop_
_atom_site_label
_atom_site_fract_x
_atom_site_fract_y
_atom_site_fract_z
_atom_site_occupancy
Rb1 0.000 0.000 0.000 1
Na1 0.500 0.500 0.269 1
Na2 0.500 0.500 0.731 1
Th1 0.000 0.000 0.500 1
Cl1 0.248 0.845 0.291 1
Cl2 0.249 0.846 0.709 1
Cl3 0.252 0.484 0.000 1
Cl4 0.254 0.327 0.500 1
Cl5 0.746 0.673 0.500 1
Cl6 0.748 0.516 0.000 1
Cl7 0.751 0.154 0.291 1
Cl8 0.752 0.155 0.709 1
```

---

6.
VASP calculation (PBE-GGA) on CdSbBr2 after structural relaxation.

space group: Cmmm (65)
formation energy from raw total energies: -0.118 eV/atom
calculated volume: 238.5 Å³/cell
energy relative to the lowest polymorph listed for this composition: 0.224 eV/atom

CIF file:
```
data_CdSbBr2
_space_group_name_H-M_alt 'P 1'
_space_group_IT_number 1
_cell_length_a 3.762
_cell_length_b 6.321
_cell_length_c 10.031
_cell_angle_alpha 90.00
_cell_angle_beta 90.00
_cell_angle_gamma 90.00
loop_
_space_group_symop_operation_xyz
'x,y,z'
loop_
_atom_site_label
_atom_site_fract_x
_atom_site_fract_y
_atom_site_fract_z
_atom_site_occupancy
Cd1 0.000 0.000 0.000 1
Cd2 0.500 0.500 0.000 1
Sb1 0.000 0.000 0.500 1
Sb2 0.500 0.500 0.500 1
Br1 0.000 0.500 0.279 1
Br2 0.000 0.500 0.721 1
Br3 0.500 0.000 0.279 1
Br4 0.500 0.000 0.721 1
```